## w
{
  "formula": "LaPmHoZn",
  "functional": "PBE-GGA",
  "state": "optimized geometry",
  "lattice": [[3.640, 0.000, 0.000], [0.000, 3.640, 0.000], [0.000, 0.000, 8.813]],
  "species": ["La", "Pm", "Ho", "Zn"],
  "frac_coords": [[0.000, 0.000, 0.000], [0.500, 0.500, 0.695], [0.500, 0.500, 0.293], [0.000, 0.000, 0.481]]
}

---

## x
{
  "formula": "LaPmHoZn",
  "functional": "PBE-GGA",
  "state": "optimized geometry",
  "lattice": [[0.000, 3.870, 3.870], [3.870, 0.000, 3.870], [3.870, 3.870, 0.000]],
  "species": ["La", "Pm", "Ho", "Zn"],
  "frac_coords": [[0.000, 0.000, 0.000], [0.500, 0.500, 0.500], [0.250, 0.250, 0.250], [0.750, 0.750, 0.750]]
}

---

The structure with the greatest stability is w.

---

## w
{
  "formula": "LaPr8Ho2",
  "functional": "PBE-GGA",
  "state": "optimized geometry",
  "lattice": [[4.634, -8.435, 0.000], [4.634, 8.435, 0.000], [-3.440, 0.000, 5.040]],
  "species": ["La", "Pr", "Pr", "Pr", "Pr", "Pr", "Pr", "Pr", "Pr", "Ho", "Ho"],
  "frac_coords": [[0.000, 0.000, 0.000], [0.099, 0.340, 0.685], [0.205, 0.795, 0.000], [0.340, 0.099, 0.685], [0.423, 0.423, 0.203], [0.577, 0.577, 0.797], [0.660, 0.901, 0.315], [0.795, 0.205, 0.000], [0.901, 0.660, 0.315], [0.311, 0.689, 0.500], [0.689, 0.311, 0.500]]
}

---

## x
{
  "formula": "LaPr8Ho2",
  "functional": "PBE-GGA",
  "state": "optimized geometry",
  "lattice": [[-2.870, 4.231, 8.111], [2.870, -4.231, 8.111], [2.870, 4.231, -8.111]],
  "species": ["La", "Pr", "Pr", "Pr", "Pr", "Pr", "Pr", "Pr", "Pr", "Ho", "Ho"],
  "frac_coords": [[0.000, 0.000, 0.000], [0.156, 0.860, 0.296], [0.162, 0.662, 0.500], [0.295, 0.500, 0.795], [0.436, 0.140, 0.296], [0.564, 0.860, 0.704], [0.705, 0.500, 0.205], [0.838, 0.338, 0.500], [0.844, 0.140, 0.704], [0.300, 0.300, 0.000], [0.700, 0.700, 0.000]]
}

---

The structure with the greatest stability is x.

---

## w
{
  "formula": "La7Pr2Ho",
  "functional": "PBE-GGA",
  "state": "optimized geometry",
  "lattice": [[4.501, -8.200, 0.000], [4.501, 8.200, 0.000], [0.000, 0.000, 5.621]],
  "species": ["La", "La", "La", "La", "La", "La", "La", "Pr", "Pr", "Ho"],
  "frac_coords": [[0.000, 0.000, 0.000], [0.201, 0.426, 0.000], [0.261, 0.739, 0.500], [0.426, 0.201, 0.000], [0.574, 0.799, 0.000], [0.739, 0.261, 0.500], [0.799, 0.574, 0.000], [0.201, 0.799, 0.000], [0.799, 0.201, 0.000], [0.500, 0.500, 0.500]]
}

---

## x
{
  "formula": "La7Pr2Ho",
  "functional": "PBE-GGA",
  "state": "optimized geometry",
  "lattice": [[9.052, 0.000, 0.000], [0.000, 3.540, 0.000], [-4.431, 0.000, 11.215]],
  "species": ["La", "La", "La", "La", "La", "La", "La", "Pr", "Pr", "Ho"],
  "frac_coords": [[0.000, 0.000, 0.000], [0.190, 0.000, 0.307], [0.222, 0.000, 0.810], [0.392, 0.500, 0.111], [0.608, 0.500, 0.889], [0.778, 0.000, 0.190], [0.810, 0.000, 0.693], [0.396, 0.000, 0.603], [0.604, 0.000, 0.397], [0.000, 0.500, 0.500]]
}

---

The structure with the greatest stability is x.

---

## w
{
  "formula": "La2Pr3Ho6",
  "functional": "PBE-GGA",
  "state": "optimized geometry",
  "lattice": [[-2.412, 2.412, 16.683], [2.412, -2.412, 16.683], [2.412, 2.412, -16.683]],
  "species": ["La", "La", "Pr", "Pr", "Pr", "Ho", "Ho", "Ho", "Ho", "Ho", "Ho"],
  "frac_coords": [[0.046, 0.046, 0.000], [0.954, 0.954, 0.000], [0.295, 0.295, 0.000], [0.500, 0.500, 0.000], [0.705, 0.705, 0.000], [0.121, 0.621, 0.500], [0.191, 0.191, 0.000], [0.379, 0.879, 0.500], [0.621, 0.121, 0.500], [0.809, 0.809, 0.000], [0.879, 0.379, 0.500]]
}

---

## x
{
  "formula": "La2Pr3Ho6",
  "functional": "PBE-GGA",
  "state": "optimized geometry",
  "lattice": [[3.137, -5.333, 0.000], [3.137, 5.333, 0.000], [-1.712, 0.000, 11.606]],
  "species": ["La", "La", "Pr", "Pr", "Pr", "Ho", "Ho", "Ho", "Ho", "Ho", "Ho"],
  "frac_coords": [[0.178, 0.822, 0.000], [0.822, 0.178, 0.000], [0.000, 0.000, 0.500], [0.336, 0.664, 0.500], [0.664, 0.336, 0.500], [0.072, 0.406, 0.748], [0.262, 0.262, 0.247], [0.406, 0.072, 0.748], [0.594, 0.928, 0.252], [0.738, 0.738, 0.753], [0.928, 0.594, 0.252]]
}

---

The structure with the greatest stability is x.

---

## w
{
  "formula": "La3Pr7Ho2",
  "functional": "PBE-GGA",
  "state": "optimized geometry",
  "lattice": [[5.947, 0.000, 0.000], [0.000, 3.657, 0.000], [-2.923, 0.000, 19.789]],
  "species": ["La", "La", "La", "Pr", "Pr", "Pr", "Pr", "Pr", "Pr", "Pr", "Ho", "Ho"],
  "frac_coords": [[0.000, 0.000, 0.000], [0.316, 0.500, 0.633], [0.684, 0.500, 0.367], [0.075, 0.500, 0.147], [0.231, 0.000, 0.462], [0.406, 0.000, 0.813], [0.500, 0.500, 0.000], [0.594, 0.000, 0.187], [0.769, 0.000, 0.538], [0.925, 0.500, 0.853], [0.148, 0.000, 0.295], [0.852, 0.000, 0.705]]
}

---

## x
{
  "formula": "La3Pr7Ho2",
  "functional": "PBE-GGA",
  "state": "optimized geometry",
  "lattice": [[3.375, 1.949, 11.394], [-3.375, 1.949, 11.394], [0.000, -3.897, 11.394]],
  "species": ["La", "La", "La", "Pr", "Pr", "Pr", "Pr", "Pr", "Pr", "Pr", "Ho", "Ho"],
  "frac_coords": [[0.000, 0.000, 0.000], [0.151, 0.151, 0.151], [0.849, 0.849, 0.849], [0.078, 0.586, 0.586], [0.414, 0.414, 0.922], [0.414, 0.922, 0.414], [0.500, 0.500, 0.500], [0.586, 0.078, 0.586], [0.586, 0.586, 0.078], [0.922, 0.414, 0.414], [0.334, 0.334, 0.334], [0.666, 0.666, 0.666]]
}

---

The structure with the greatest stability is w.

---

## w
{
  "formula": "La3Pr2Ho3",
  "functional": "PBE-GGA",
  "state": "optimized geometry",
  "lattice": [[12.262, -1.849, 0.000], [12.262, 1.849, 0.000], [-1.606, 0.000, 6.114]],
  "species": ["La", "La", "La", "Pr", "Pr", "Ho", "Ho", "Ho"],
  "frac_coords": [[0.000, 0.000, 0.000], [0.124, 0.124, 0.461], [0.876, 0.876, 0.539], [0.247, 0.247, 0.244], [0.753, 0.753, 0.756], [0.376, 0.376, 0.042], [0.500, 0.500, 0.500], [0.624, 0.624, 0.958]]
}

---

## x
{
  "formula": "La3Pr2Ho3",
  "functional": "PBE-GGA",
  "state": "optimized geometry",
  "lattice": [[-2.553, 2.597, 10.415], [2.553, -2.597, 10.415], [2.553, 2.597, -10.415]],
  "species": ["La", "La", "La", "Pr", "Pr", "Ho", "Ho", "Ho"],
  "frac_coords": [[0.000, 0.000, 0.000], [0.379, 0.879, 0.500], [0.621, 0.121, 0.500], [0.249, 0.249, 0.000], [0.751, 0.751, 0.000], [0.125, 0.625, 0.500], [0.500, 0.500, 0.000], [0.875, 0.375, 0.500]]
}

---

The structure with the greatest stability is w.

---

## w
{
  "formula": "LaPrHo4",
  "functional": "PBE-GGA",
  "state": "optimized geometry",
  "lattice": [[0.000, 4.726, 4.726], [4.726, 0.000, 4.726], [4.726, 4.726, 0.000]],
  "species": ["La", "Pr", "Ho", "Ho", "Ho", "Ho"],
  "frac_coords": [[0.000, 0.000, 0.000], [0.250, 0.250, 0.250], [0.126, 0.625, 0.625], [0.625, 0.126, 0.625], [0.625, 0.625, 0.126], [0.625, 0.625, 0.625]]
}

---

## x
{
  "formula": "LaPrHo4",
  "functional": "PBE-GGA",
  "state": "optimized geometry",
  "lattice": [[5.068, 0.000, 0.000], [-2.528, 5.687, 0.000], [-0.010, -2.293, 6.834]],
  "species": ["La", "Pr", "Ho", "Ho", "Ho", "Ho"],
  "frac_coords": [[0.000, 0.000, 0.000], [0.000, 0.000, 0.500], [0.330, 0.662, 0.665], [0.332, 0.664, 0.167], [0.668, 0.336, 0.833], [0.670, 0.338, 0.335]]
}

---

## y
{
  "formula": "LaPrHo4",
  "functional": "PBE-GGA",
  "state": "optimized geometry",
  "lattice": [[5.760, 0.000, 0.000], [0.000, 7.067, 0.000], [-0.035, 0.000, 9.694]],
  "species": ["La", "La", "Pr", "Pr", "Ho", "Ho", "Ho", "Ho", "Ho", "Ho", "Ho", "Ho"],
  "frac_coords": [[0.217, 0.250, 0.419], [0.783, 0.750, 0.581], [0.221, 0.750, 0.082], [0.779, 0.250, 0.918], [0.252, 0.001, 0.752], [0.252, 0.499, 0.752], [0.278, 0.250, 0.080], [0.278, 0.750, 0.416], [0.722, 0.250, 0.584], [0.722, 0.750, 0.920], [0.748, 0.501, 0.248], [0.748, 0.999, 0.248]]
}

---

The structure with the greatest stability is x.

---

## w
{
  "formula": "La6Pr12Ho",
  "functional": "PBE-GGA",
  "state": "optimized geometry",
  "lattice": [[6.931, 4.002, 4.242], [-6.931, 4.002, 4.242], [0.000, -8.004, 4.242]],
  "species": ["La", "La", "La", "La", "La", "La", "Pr", "Pr", "Pr", "Pr", "Pr", "Pr", "Pr", "Pr", "Pr", "Pr", "Pr", "Pr", "Ho"],
  "frac_coords": [[0.160, 0.591, 0.591], [0.409, 0.409, 0.840], [0.409, 0.840, 0.409], [0.591, 0.160, 0.591], [0.591, 0.591, 0.160], [0.840, 0.409, 0.409], [0.000, 0.256, 0.744], [0.000, 0.744, 0.256], [0.148, 0.148, 0.417], [0.148, 0.417, 0.148], [0.256, 0.000, 0.744], [0.256, 0.744, 0.000], [0.417, 0.148, 0.148], [0.583, 0.852, 0.852], [0.744, 0.000, 0.256], [0.744, 0.256, 0.000], [0.852, 0.583, 0.852], [0.852, 0.852, 0.583], [0.500, 0.500, 0.500]]
}

---

## x
{
  "formula": "La6Pr12Ho",
  "functional": "PBE-GGA",
  "state": "optimized geometry",
  "lattice": [[6.244, 3.605, 5.145], [-6.244, 3.605, 5.145], [0.000, -7.210, 5.145]],
  "species": ["La", "La", "La", "La", "La", "La", "Pr", "Pr", "Pr", "Pr", "Pr", "Pr", "Pr", "Pr", "Pr", "Pr", "Pr", "Pr", "Ho"],
  "frac_coords": [[0.201, 0.766, 0.595], [0.234, 0.405, 0.799], [0.405, 0.799, 0.234], [0.595, 0.201, 0.766], [0.766, 0.595, 0.201], [0.799, 0.234, 0.405], [0.032, 0.936, 0.282], [0.064, 0.718, 0.968], [0.138, 0.479, 0.317], [0.282, 0.032, 0.936], [0.317, 0.138, 0.479], [0.479, 0.317, 0.138], [0.521, 0.683, 0.862], [0.683, 0.862, 0.521], [0.718, 0.968, 0.064], [0.862, 0.521, 0.683], [0.936, 0.282, 0.032], [0.968, 0.064, 0.718], [0.500, 0.500, 0.500]]
}

---

The structure with the greatest stability is x.

---

## w
{
  "formula": "La4Pr5Ho2",
  "functional": "PBE-GGA",
  "state": "optimized geometry",
  "lattice": [[9.065, -1.810, 0.000], [9.065, 1.810, 0.000], [-0.877, 0.000, 11.946]],
  "species": ["La", "La", "La", "La", "Pr", "Pr", "Pr", "Pr", "Pr", "Ho", "Ho"],
  "frac_coords": [[0.041, 0.041, 0.264], [0.358, 0.358, 0.205], [0.642, 0.642, 0.795], [0.959, 0.959, 0.736], [0.096, 0.096, 0.539], [0.179, 0.179, 0.075], [0.500, 0.500, 0.000], [0.821, 0.821, 0.925], [0.904, 0.904, 0.461], [0.283, 0.283, 0.636], [0.717, 0.717, 0.364]]
}

---

## x
{
  "formula": "La4Pr5Ho2",
  "functional": "PBE-GGA",
  "state": "optimized geometry",
  "lattice": [[12.299, -1.771, 0.000], [12.299, 1.771, 0.000], [-1.092, 0.000, 9.004]],
  "species": ["La", "La", "La", "La", "Pr", "Pr", "Pr", "Pr", "Pr", "Ho", "Ho"],
  "frac_coords": [[0.045, 0.045, 0.365], [0.322, 0.322, 0.527], [0.678, 0.678, 0.473], [0.955, 0.955, 0.635], [0.141, 0.141, 0.111], [0.229, 0.229, 0.823], [0.500, 0.500, 0.000], [0.771, 0.771, 0.177], [0.859, 0.859, 0.889], [0.089, 0.089, 0.735], [0.911, 0.911, 0.265]]
}

---

The structure with the greatest stability is w.

---

## w
{
  "formula": "LaPrHo",
  "functional": "PBE-GGA",
  "state": "optimized geometry",
  "lattice": [[-1.842, 1.842, 7.715], [1.842, -1.842, 7.715], [1.842, 1.842, -7.715]],
  "species": ["La", "Pr", "Ho"],
  "frac_coords": [[0.000, 0.000, 0.000], [0.672, 0.672, 0.000], [0.335, 0.335, 0.000]]
}

---

## x
{
  "formula": "LaPrHo",
  "functional": "PBE-GGA",
  "state": "optimized geometry",
  "lattice": [[-1.842, 2.583, 5.466], [1.842, -2.583, 5.466], [1.842, 2.583, -5.466]],
  "species": ["La", "Pr", "Ho"],
  "frac_coords": [[0.000, 0.000, 0.000], [0.668, 0.668, 0.000], [0.333, 0.333, 0.000]]
}

---

The structure with the greatest stability is x.

---

## w
{
  "formula": "LaPrHo",
  "functional": "PBE-GGA",
  "state": "optimized geometry",
  "lattice": [[5.809, 0.000, 0.000], [-2.904, 5.030, 0.000], [0.000, 0.000, 3.533]],
  "species": ["La", "Pr", "Ho"],
  "frac_coords": [[0.000, 0.000, 0.000], [0.667, 0.333, 0.500], [0.333, 0.667, 0.000]]
}

---

## x
{
  "formula": "LaPrHo",
  "functional": "PBE-GGA",
  "state": "optimized geometry",
  "lattice": [[1.790, -10.464, 0.000], [1.790, 10.464, 0.000], [0.000, 0.000, 5.590]],
  "species": ["La", "La", "Pr", "Pr", "Ho", "Ho"],
  "frac_coords": [[0.114, 0.886, 0.750], [0.886, 0.114, 0.250], [0.292, 0.708, 0.750], [0.708, 0.292, 0.250], [0.459, 0.541, 0.750], [0.541, 0.459, 0.250]]
}

---

The structure with the greatest stability is x.